Record 1
The following is a GGA-PBE calculation of a relaxed BaPb crystal, from Alexandria via LeMat-Bulk.

Geometry as extended XYZ:
```
4
Lattice="4.783 0.000 0.000 -2.392 4.142 0.000 0.000 0.000 10.062" Properties=species:S:1:pos:R:3 pbc="T T T"
Ba 0.000 2.762 3.067
Ba 2.392 1.381 6.995
Pb 0.000 2.762 9.322
Pb 2.392 1.381 0.740
```

Values from the calculation:
Space-group type: P-3m1, No. 164
Calculated total energy, eV per cell: -12.3
Calculated density, g/cm3: 5.7

Record 2
The following is a GGA-PBE calculation of a relaxed Ba5Pb crystal, from Alexandria via LeMat-Bulk.

Geometry as extended XYZ:
```
6
Lattice="4.375 0.000 0.000 0.000 4.375 0.000 0.000 0.000 17.684" Properties=species:S:1:pos:R:3 pbc="T T T"
Ba 0.000 0.000 0.000
Ba 0.000 0.000 6.823
Ba 0.000 0.000 10.862
Ba 2.188 2.188 3.280
Ba 2.188 2.188 14.404
Pb 2.188 2.188 8.842
```

Values from the calculation:
Space-group type: P4/mmm, No. 123
Calculated total energy, eV per cell: -14.3
Calculated density, g/cm3: 4.4

Record 3
The following is a GGA-PBE calculation of a relaxed BaPb2 crystal, from Alexandria via LeMat-Bulk.

Geometry as extended XYZ:
```
12
Lattice="16.525 0.000 0.000 0.000 4.415 0.000 -2.000 0.000 6.180" Properties=species:S:1:pos:R:3 pbc="T T T"
Ba 1.279 0.000 1.611
Ba 4.984 2.208 4.569
Ba 9.542 2.208 1.611
Ba 13.246 0.000 4.569
Pb -0.194 2.208 4.567
Pb 2.154 0.000 5.010
Pb 4.109 2.208 1.170
Pb 6.457 0.000 1.613
Pb 8.069 0.000 4.567
Pb 10.416 2.208 5.010
Pb 12.372 0.000 1.170
Pb 14.719 2.208 1.613
```

Values from the calculation:
Space-group type: C2/m, No. 12
Calculated total energy, eV per cell: -42.1
Calculated density, g/cm3: 8.1

Record 4
The following is a GGA-PBE calculation of a relaxed Ba3Pb crystal, from Alexandria via LeMat-Bulk.

Geometry as extended XYZ:
```
12
Lattice="12.675 0.000 0.000 -6.337 10.977 0.000 0.000 0.000 3.998" Properties=species:S:1:pos:R:3 pbc="T T T"
Ba -3.169 5.488 0.000
Ba 0.000 3.659 1.333
Ba -3.169 9.147 1.333
Ba 3.169 1.829 2.665
Ba 6.337 0.000 0.000
Ba 3.169 5.488 0.000
Ba 3.169 9.147 1.333
Ba 9.506 1.829 2.665
Ba 6.337 7.318 2.665
Pb 0.000 0.000 0.000
Pb 0.000 7.318 2.665
Pb 6.337 3.659 1.333
```

Values from the calculation:
Space-group type: R-3m, No. 166
Calculated total energy, eV per cell: -29.8
Calculated density, g/cm3: 5.5

Q: calculated density of number 4 (Ba3Pb)?
A: 5.5 g/cm3